Record 1
This record from the Alexandria database describes an optimized crystal structure of TlReP2. The functional is PBE.

Lattice parameters (Å, degrees): 6.0773 6.0773 11.2943 90.00 90.00 90.00
With the nearest neighbours (Å) after each atom.
Space group I-42d (No. 122)
Unique sites:
Tl: 0.0000 0.0000 0.0000 [4 per cell]  4 P 3.00
Re: 0.0000 0.0000 0.5000 [4 per cell]  4 P 2.25
P: 0.1438 0.2500 0.6250 [8 per cell]  2 Re 2.25

**Distance to the lowest polymorph of the same formula**: 0.72 eV per formula unit
**E_form**: 0.1915 eV/atom
**Crystal system**: tetragonal



Record 2
This record from the Alexandria database describes an optimized crystal structure of CaIrRh2. The functional is PBE.

Lattice parameters (Å, degrees): 3.2830 3.2830 6.5073 90.00 90.00 90.00
With the nearest neighbours (Å) after each atom.
Space group P4/mmm (No. 123)
Unique sites:
Ca: 0.0000 0.0000 0.0000 [1 per cell]  8 Rh 3.02, 2 Ir 3.25, 4 Ca 3.28
Ir: 0.0000 0.0000 0.5000 [1 per cell]  8 Rh 2.67
Rh: 0.5000 0.5000 0.2960 [2 per cell]  1 Rh 2.66, 4 Ir 2.67

**Distance to the lowest polymorph of the same formula**: 0.77 eV per formula unit
**E_form**: 0.0963 eV/atom
**Crystal system**: tetragonal



Record 3
This record from the Alexandria database describes an optimized crystal structure of Ba3YOs. The functional is PBE.

Lattice parameters (Å, degrees): 6.0479 6.0479 6.0479 90.00 90.00 90.00
With the nearest neighbours (Å) after each atom.
Space group Pm-3m (No. 221)
Unique sites:
Ba: 0.0000 0.0000 0.5000 [3 per cell]  2 Os 3.02
Y: 0.5000 0.5000 0.5000 [1 per cell]  12 Ba 4.28
Os: 0.0000 0.0000 0.0000 [1 per cell]  6 Ba 3.02

**Distance to the lowest polymorph of the same formula**: 0.00 eV per formula unit
**E_form**: 0.6623 eV/atom
**Crystal system**: cubic



Record 4
This record from the Alexandria database describes an optimized crystal structure of EuHoGe. The functional is PBE.

Lattice parameters (Å, degrees): 7.0991 7.0991 7.0991 90.00 90.00 90.00
With the nearest neighbours (Å) after each atom.
Space group F-43m (No. 216)
Unique sites:
Eu: 0.0000 0.0000 0.0000 [4 per cell]  4 Ge 3.07
Ho: 0.0000 0.0000 0.5000 [4 per cell]  4 Ge 3.07
Ge: 0.2500 0.2500 0.7500 [4 per cell]  4 Ho 3.07, 4 Eu 3.07

**Distance to the lowest polymorph of the same formula**: 0.00 eV per formula unit
**E_form**: -0.4700 eV/atom
**Crystal system**: cubic